No. 1
## Pr2Al5Ag4 (PBE)

Data for an optimized crystal structure of Pr2Al5Ag4.

Lattice parameters (Å, degrees): 9.9339 9.1165 5.5619 81.29 65.11 33.60
Atoms (fractional coordinates):
1 Pr 0.1148 0.1148 0.8852
2 Pr 0.8852 0.8852 0.1148
3 Al 0.0000 0.0000 0.5000
4 Al 0.2500 0.2500 0.2500
5 Al 0.5000 0.5000 0.0000
6 Al 0.5000 0.5000 0.5000
7 Al 0.7500 0.7500 0.7500
8 Ag 0.2064 0.5320 0.4680
9 Ag 0.4680 0.7936 0.2064
10 Ag 0.5320 0.2064 0.7936
11 Ag 0.7936 0.4680 0.5320

Properties
- N(E_F): 3.86 states/eV per cell
- Symmetry: Fmmm
- Total energy: -0.2863 Ry/atom

---

No. 2
## Pr3Al4Ag4 (PBE)

Data for an optimized crystal structure of Pr3Al4Ag4.

Lattice parameters (Å, degrees): 14.2454 14.2454 4.6304 99.29 99.29 15.74
Atoms (fractional coordinates):
1 Pr 0.0000 0.0000 0.0000
2 Pr 0.1461 0.1461 0.6465
3 Pr 0.8539 0.8539 0.3535
4 Al 0.3092 0.3092 0.8084
5 Al 0.4516 0.4516 0.4514
6 Al 0.5484 0.5484 0.5486
7 Al 0.6908 0.6908 0.1916
8 Ag 0.2561 0.2561 0.2560
9 Ag 0.4043 0.4043 0.9041
10 Ag 0.5957 0.5957 0.0959
11 Ag 0.7439 0.7439 0.7440

Properties
- N(E_F): 9.41 states/eV per cell
- Symmetry: C2/m
- Total energy: -0.2967 Ry/atom

---

Number 1: theoretical density 6.1 g/cm³, E_form -0.289 eV per atom. Number 2: theoretical density 6.4 g/cm³, E_form -0.336 eV per atom.